# TbSm5Ho2Sc (PBE-GGA, relaxed)
data_TbSm5Ho2Sc
_chemical_formula_sum 'Tb4 Sm20 Ho8 Sc4'
_cell_length_a 5.558
_cell_length_b 20.308
_cell_length_c 10.413
_cell_angle_alpha 90.00
_cell_angle_beta 90.00
_cell_angle_gamma 90.00
_space_group_name_H-M_alt 'C m c 21'
_space_group_IT_number 36
_space_group_name_Hall 'C 2c -2'
loop_
_atom_site_label
_atom_site_fract_x
_atom_site_fract_y
_atom_site_fract_z
Tb1 0.000 0.095 0.000
Sm1 0.000 0.014 0.718
Sm2 0.000 0.126 0.443
Sm3 0.000 0.201 0.754
Sm4 0.000 0.225 0.141
Sm5 0.000 0.485 0.449
Ho1 0.000 0.384 0.723
Ho2 0.000 0.388 0.156
Sc1 0.000 0.305 0.447
# Size of the total moment ... 0.0000 μB per atom
# Energy relative to the elements ... 160 meV per atom